ErBO3 | PBE-GGA | optimized geometry

POSCAR file:
```
ErBO3
1.0
5.6535 -3.2689 0.0000
5.6535 3.2689 0.0000
-3.7045 0.0000 8.8214
Er B O
6 6 18
direct
0.0000 0.5000 0.0000 Er
0.1577 0.6706 0.5006 Er
0.3294 0.8423 0.9994 Er
0.5000 0.0000 0.5000 Er
0.6706 0.1577 0.0006 Er
0.8423 0.3294 0.4994 Er
0.1752 0.8248 0.2500 B
0.3415 0.4179 0.7533 B
0.4179 0.3415 0.2533 B
0.5821 0.6585 0.7467 B
0.6585 0.5821 0.2467 B
0.8248 0.1752 0.7500 B
0.0169 0.8858 0.1072 O
0.1142 0.9831 0.3928 O
0.1838 0.3699 0.6106 O
0.1986 0.5833 0.2520 O
0.2819 0.4665 0.8983 O
0.3635 0.6365 0.7500 O
0.3699 0.1838 0.1106 O
0.4167 0.8014 0.2480 O
0.4665 0.2819 0.3983 O
0.5335 0.7181 0.6017 O
0.5833 0.1986 0.7520 O
0.6301 0.8162 0.8894 O
0.6365 0.3635 0.2500 O
0.7181 0.5335 0.1017 O
0.8014 0.4167 0.7480 O
0.8162 0.6301 0.3894 O
0.8858 0.0169 0.6072 O
0.9831 0.1142 0.8928 O
```

Computed properties:
E_form (uncorrected): -3.15 eV per atom
electronic total energy: -251.2 eV/cell
calculated density: 6908 kg/m3
space group: C2/c
magnetic moment: 0.00 μB per formula unit